# 1
## BaRhW2 (GGA-PBE)

Data for an optimized crystal structure of BaRhW2. Values from VASP.

The structure in Quantum ESPRESSO input format:
```
&SYSTEM
  ibrav = 0, nat = 4, ntyp = 3
/
ATOMIC_SPECIES
Ba 137.33 Ba.upf
Rh 102.91 Rh.upf
W 183.84 W.upf
ATOMIC_POSITIONS angstrom
Ba 4.668 -1.246 -1.209
Rh 1.759 -1.741 -3.180
W 0.051 -0.014 -0.013
W 1.694 -1.894 0.157
CELL_PARAMETERS angstrom
3.932 -0.879 -4.337
5.362 -1.602 1.931
-5.767 -1.174 -0.635
```

Calculated values
Calculated formation energy (eV per atom): 1.0507
Offset from the most stable computed form (kJ per mole of atoms): 44.8
SG: No. 44



# 2
## KPuRuO6 (GGA-PBE)

Data for an optimized crystal structure of KPuRuO6. Values from VASP.

The structure in Quantum ESPRESSO input format:
```
&SYSTEM
  ibrav = 0, nat = 18, ntyp = 4
/
ATOMIC_SPECIES
K 39.10 K.upf
Pu 244.00 Pu.upf
Ru 101.07 Ru.upf
O 16.00 O.upf
ATOMIC_POSITIONS angstrom
K -4.038 2.405 3.413
K -2.249 -0.158 -0.039
Pu -0.247 0.423 3.708
Pu 0.030 -3.101 2.091
Ru -3.173 4.224 -0.404
Ru -0.276 3.524 1.617
O -4.303 -1.462 2.453
O -0.874 1.875 5.110
O -0.906 4.239 3.371
O -4.146 2.492 -0.213
O -0.704 1.660 2.188
O -4.348 5.070 0.969
O -1.984 3.710 0.921
O -5.413 0.372 -1.736
O -5.381 -1.991 0.003
O -2.141 -0.245 3.587
O -5.583 0.587 1.186
O -1.939 -2.823 2.404
CELL_PARAMETERS angstrom
-0.552 7.048 3.233
-5.794 1.401 -4.042
0.059 -6.201 4.182
```

Calculated values
Energy relative to the elements, uncorrected (eV/atom): -1.80
SG: No. 74



Q: Number 2 is which compound?
A: KPuRuO6



What did the first record say?
## BaRhW2 (GGA-PBE)

Data for an optimized crystal structure of BaRhW2. Values from VASP.

The structure in Quantum ESPRESSO input format:
```
&SYSTEM
  ibrav = 0, nat = 4, ntyp = 3
/
ATOMIC_SPECIES
Ba 137.33 Ba.upf
Rh 102.91 Rh.upf
W 183.84 W.upf
ATOMIC_POSITIONS angstrom
Ba 4.668 -1.246 -1.209
Rh 1.759 -1.741 -3.180
W 0.051 -0.014 -0.013
W 1.694 -1.894 0.157
CELL_PARAMETERS angstrom
3.932 -0.879 -4.337
5.362 -1.602 1.931
-5.767 -1.174 -0.635
```

Calculated values
Calculated formation energy (eV per atom): 1.0507
Offset from the most stable computed form (kJ per mole of atoms): 44.8
SG: No. 44